1.
# Er4TaV7B24

Er4TaV7B24 at its PBEsol-relaxed geometry (meta-GGA SCAN, the Alexandria database).

a b c (Å): 9.561 3.029 12.782
angles (deg): 90.00 93.17 90.00
Space group Pm (No. 6)
Symmetry-distinct sites (fractional):
Er 0.000 0.000 0.000 x1
Er 0.056 0.000 0.742 x1
Er 0.481 0.000 0.335 x1
Er 0.803 0.000 0.398 x1
Ta 0.334 0.500 0.626 x1
V 0.213 0.500 0.410 x1
V 0.300 0.500 0.905 x1
V 0.422 0.500 0.111 x1
V 0.605 0.500 0.941 x1
V 0.649 0.500 0.554 x1
V 0.748 0.500 0.141 x1
V 0.761 0.500 0.752 x1
B 0.043 0.000 0.320 x1
B 0.047 0.000 0.446 x1
B 0.078 0.000 0.188 x1
B 0.165 0.000 0.546 x1
B 0.211 0.000 0.284 x1
B 0.263 0.000 0.163 x1
B 0.276 0.000 0.034 x1
B 0.304 0.500 0.251 x1
B 0.331 0.000 0.766 x1
B 0.334 0.000 0.496 x1
B 0.441 0.000 0.993 x1
B 0.457 0.500 0.788 x1
B 0.458 0.000 0.863 x1
B 0.497 0.000 0.560 x1
B 0.589 0.000 0.082 x1
B 0.617 0.000 0.805 x1
B 0.627 0.000 0.668 x1
B 0.742 0.000 0.017 x1
B 0.766 0.000 0.886 x1
B 0.806 0.000 0.623 x1
B 0.893 0.500 0.605 x1
B 0.907 0.000 0.213 x1
B 0.972 0.500 0.154 x1
B 0.976 0.000 0.558 x1

Properties
- Electronic total energy: -16.0217 eV/atom
- Crystal system: monoclinic
- Formation energy: -8.1 eV per formula unit
- Total magnetic moment: 0.001 μB/f.u.

***

2.
# EuB12

EuB12 at its PBEsol-relaxed geometry (meta-GGA SCAN, the Alexandria database).

a b c (Å): 7.502 7.502 7.502
angles (deg): 90.00 90.00 90.00
Space group Fm-3m (No. 225)
Symmetry-distinct sites (fractional):
Eu 0.000 0.000 0.000 x4
B 0.000 0.168 0.332 x48

Properties
- Electronic total energy: -11.1855 eV/atom
- Crystal system: cubic
- Formation energy: -2.5 eV per formula unit
- Total magnetic moment: 6.701 μB/f.u.

***

3.
# LaEuB12

LaEuB12 at its PBEsol-relaxed geometry (meta-GGA SCAN, the Alexandria database).

a b c (Å): 8.262 8.262 8.262
angles (deg): 90.00 90.00 90.00
Space group Fm-3m (No. 225)
Symmetry-distinct sites (fractional):
La 0.000 0.000 0.000 x4
Eu 0.000 0.000 0.500 x4
B 0.100 0.250 0.250 x48

Properties
- Electronic total energy: -13.8805 eV/atom
- Crystal system: cubic
- Formation energy: -8.4 eV per formula unit
- Total magnetic moment: 6.945 μB/f.u.

***

4.
# EuMgB5O10

EuMgB5O10 at its PBEsol-relaxed geometry (meta-GGA SCAN, the Alexandria database).

a b c (Å): 8.666 7.598 12.471
angles (deg): 90.00 131.13 90.00
Space group P2_1/c (No. 14)
Symmetry-distinct sites (fractional):
Eu 0.049 0.187 0.237 x4
Mg 0.477 0.590 0.874 x4
B 0.092 0.672 0.607 x4
B 0.156 0.598 0.001 x4
B 0.273 0.031 0.052 x4
B 0.348 0.579 0.263 x4
B 0.480 0.188 0.913 x4
O 0.026 0.725 0.984 x4
O 0.087 0.104 0.915 x4
O 0.118 0.544 0.882 x4
O 0.206 0.716 0.236 x4
O 0.235 0.527 0.647 x4
O 0.317 0.085 0.808 x4
O 0.318 0.536 0.134 x4
O 0.323 0.629 0.508 x4
O 0.428 0.149 0.429 x4
O 0.446 0.152 0.128 x4

Properties
- Electronic total energy: -12.1246 eV/atom
- Crystal system: monoclinic
- Energy relative to the elements, uncorrected: -2.822 eV/atom
- Total magnetic moment: 5.949 μB/f.u.

***

5.
# EuB4O7

EuB4O7 at its PBEsol-relaxed geometry (meta-GGA SCAN, the Alexandria database).

a b c (Å): 10.718 4.421 4.230
angles (deg): 90.00 90.00 90.00
Space group Pmn2_1 (No. 31)
Symmetry-distinct sites (fractional):
Eu 0.000 0.211 0.000 x2
B 0.121 0.674 0.473 x4
B 0.249 0.823 0.996 x4
O 0.000 0.775 0.582 x2
O 0.135 0.727 0.135 x4
O 0.141 0.356 0.546 x4
O 0.223 0.867 0.639 x4

Properties
- Electronic total energy: -13.4207 eV/atom
- Crystal system: orthorhombic
- Energy relative to the elements, uncorrected: -2.833 eV/atom
- Total magnetic moment: 7.000 μB/f.u.

***

6.
# Eu2B5Os3

Eu2B5Os3 at its PBEsol-relaxed geometry (meta-GGA SCAN, the Alexandria database).

a b c (Å): 10.583 4.038 8.066
angles (deg): 90.00 125.65 90.00
Space group C2 (No. 5)
Symmetry-distinct sites (fractional):
Eu 0.166 0.000 0.264 x4
B 0.000 0.507 0.000 x2
B 0.020 0.283 0.617 x4
B 0.144 0.005 0.811 x4
Os 0.000 0.789 0.500 x2
Os 0.132 0.519 0.903 x4

Properties
- Electronic total energy: -36.4677 eV/atom
- Crystal system: monoclinic
- Formation energy: -4.5 eV per formula unit
- Total magnetic moment: 13.735 μB/f.u.

***

Q: What is the formula in the first record?
A: Er4TaV7B24

***

Q: Which of these has the highest total magnetic moment?
A: Eu2B5Os3